A plane-wave DFT calculation with PBE-GGA was carried out for crystalline La3Al4Ag2 at its relaxed geometry.

Magnetization = 0.00 μB per cell
Raw total energy = -38.83 eV/cell
DFT formation energy = -3.37 eV/f.u.

Unit cell a=4.6790 b=6.0461 c=9.0051 alpha=105.24 beta=90.00 gamma=112.76
Fractional positions:
1 La 0.0000 0.0000 0.0000
2 Al 0.0908 0.1815 0.4198
3 Ag 0.6619 0.3237 0.3262
4 Al 0.9092 0.8185 0.5802
5 Ag 0.3381 0.6763 0.6738
6 La 0.6367 0.2734 0.6887
7 Al 0.7250 0.4500 0.0636
8 La 0.3633 0.7266 0.3113
9 Al 0.2750 0.5500 0.9364

***

A plane-wave DFT calculation with PBE-GGA was carried out for crystalline LaAl4Ag at its relaxed geometry.

ΔE to the lowest computed polymorph = 0.11 eV per formula unit
Magnetization = 0.00 μB per cell
Raw total energy = -48.70 eV/cell
DFT formation energy = -1.60 eV/f.u.

Unit cell a=8.1641 b=8.1612 c=8.7755 alpha=58.40 beta=141.57 gamma=136.19
Fractional positions:
1 Al 0.4987 0.2306 0.7007
2 Al 0.9532 0.8716 0.3237
3 Al 0.0468 0.1284 0.6763
4 Al 0.5013 0.7694 0.2993
5 Ag 0.5000 0.0000 0.5000
6 Al 0.4914 0.8530 0.8447
7 La 0.2146 0.3480 0.0616
8 Al 0.0291 0.2973 0.2990
9 Al 0.5086 0.1470 0.1553
10 La 0.7854 0.6520 0.9384
11 Al 0.9709 0.7027 0.7010
12 Ag 0.0000 0.5000 0.5000

***

A plane-wave DFT calculation with PBE-GGA was carried out for crystalline LaAlAg2 at its relaxed geometry.

Magnetization = 0.08 μB per cell
Raw total energy = -14.90 eV/cell
DFT formation energy = -0.53 eV/f.u.

Unit cell a=3.2199 b=3.3308 c=7.8962 alpha=90.00 beta=90.00 gamma=90.00
Fractional positions:
1 Ag 0.0000 0.0000 0.0547
2 Ag 0.0000 0.0000 0.4453
3 Al 0.5000 0.5000 0.2500
4 La 0.5000 0.5000 0.7500

***

A plane-wave DFT calculation with PBE-GGA was carried out for crystalline LaAlAg2 at its relaxed geometry.

Magnetization = 0.00 μB per cell
Raw total energy = -14.86 eV/cell
DFT formation energy = -0.49 eV/f.u.

Unit cell a=4.4362 b=3.2081 c=6.4684 alpha=78.81 beta=90.00 gamma=90.00
Fractional positions:
1 Al 0.5000 0.2500 0.2500
2 Ag 0.0000 0.4175 0.4501
3 Ag 0.0000 0.0825 0.0499
4 La 0.5000 0.7500 0.7500

***

A plane-wave DFT calculation with PBE-GGA was carried out for crystalline La3Al3Ag at its relaxed geometry.

Magnetization = 0.00 μB per cell
Raw total energy = -62.85 eV/cell
DFT formation energy = -2.56 eV/f.u.

Unit cell a=4.8131 b=6.0496 c=14.1028 alpha=94.19 beta=80.17 gamma=66.56
Fractional positions:
1 La 0.7439 0.7494 0.7628
2 Ag 0.2393 0.9233 0.5981
3 Al 0.9783 0.8257 0.2177
4 Al 0.1339 0.2631 0.4691
5 La 0.6190 0.7053 0.0566
6 Al 0.0217 0.1743 0.7823
7 La 0.3810 0.2947 0.9434
8 La 0.4894 0.6558 0.3654
9 La 0.5106 0.3442 0.6346
10 Ag 0.7607 0.0767 0.4019
11 Al 0.8661 0.7369 0.5309
12 Al 0.1077 0.8732 0.9113
13 Al 0.8923 0.1268 0.0887
14 La 0.2561 0.2506 0.2372

***

A plane-wave DFT calculation with PBE-GGA was carried out for crystalline LaAlAg at its relaxed geometry.

Magnetization = 0.00 μB per cell
Raw total energy = -12.18 eV/cell
DFT formation energy = -0.66 eV/f.u.

Unit cell a=6.4575 b=6.4575 c=3.3995 alpha=74.74 beta=74.74 gamma=30.51
Fractional positions:
1 Al 0.3590 0.3590 0.6410
2 La 0.6695 0.6695 0.3305
3 Ag 0.9715 0.9715 0.0285

***

A plane-wave DFT calculation with PBE-GGA was carried out for crystalline La8Al2Ag at its relaxed geometry.

Magnetization = 0.00 μB per cell
Raw total energy = -51.19 eV/cell
DFT formation energy = -1.44 eV/f.u.

Unit cell a=5.1850 b=9.0720 c=8.9932 alpha=120.29 beta=106.75 gamma=90.00
Fractional positions:
1 Al 0.2031 0.7031 0.4061
2 La 0.3452 0.5611 0.6904
3 La 0.6548 0.4389 0.3096
4 La 0.0000 0.6621 0.0000
5 La 0.8571 0.8570 0.7142
6 La 0.0000 0.3379 0.0000
7 La 0.6548 0.8708 0.3096
8 La 0.1429 0.1430 0.2858
9 La 0.3452 0.1292 0.6904
10 Ag 0.5000 0.0000 0.0000
11 Al 0.7969 0.2969 0.5939

***

A plane-wave DFT calculation with PBE-GGA was carried out for crystalline La3Al2Ag4 at its relaxed geometry.

Magnetization = 0.00 μB per cell
Raw total energy = -36.75 eV/cell
DFT formation energy = -3.08 eV/f.u.

Unit cell a=4.7764 b=6.0976 c=9.0717 alpha=112.36 beta=90.00 gamma=113.06
Fractional positions:
1 La 0.3522 0.7044 0.3210
2 Ag 0.9102 0.8204 0.5888
3 La 0.0000 0.0000 0.0000
4 Al 0.6434 0.2868 0.3112
5 La 0.6478 0.2956 0.6790
6 Ag 0.0898 0.1796 0.4112
7 Ag 0.7165 0.4330 0.0631
8 Al 0.3566 0.7132 0.6888
9 Ag 0.2835 0.5670 0.9369

***

A plane-wave DFT calculation with PBE-GGA was carried out for crystalline LaAlAg2 at its relaxed geometry.

Magnetization = 0.00 μB per cell
Raw total energy = -15.26 eV/cell
DFT formation energy = -0.89 eV/f.u.

Unit cell a=4.6154 b=4.6154 c=5.7968 alpha=66.45 beta=66.45 gamma=60.10
Fractional positions:
1 Ag 0.0358 0.0358 0.8922
2 Al 0.4535 0.4535 0.6395
3 Ag 0.7669 0.7669 0.6992
4 La 0.2438 0.2438 0.2691

***

A plane-wave DFT calculation with PBE-GGA was carried out for crystalline La3AlAg at its relaxed geometry.

ΔE to the lowest computed polymorph = 2.90 eV per formula unit
Magnetization = 1.12 μB per cell
Raw total energy = -19.67 eV/cell
DFT formation energy = 1.70 eV/f.u.

Unit cell a=5.7767 b=5.7767 c=5.7767 alpha=90.00 beta=90.00 gamma=90.00
Last column: magnetic moment on the atom in μB.
Fractional positions:
1 La 0.0000 0.0000 0.5000  0.10
2 Ag 0.5000 0.5000 0.5000  0.01
3 Al 0.0000 0.0000 0.0000  0.00
4 La 0.5000 0.0000 0.0000  0.13
5 La 0.0000 0.5000 0.0000  0.09

***

A plane-wave DFT calculation with PBE-GGA was carried out for crystalline LaAl4Ag at its relaxed geometry.

ΔE to the lowest computed polymorph = 0.00 eV per formula unit
Magnetization = 0.00 μB per cell
Raw total energy = -48.92 eV/cell
DFT formation energy = -1.71 eV/f.u.

Unit cell a=6.2713 b=7.2546 c=6.2713 alpha=73.36 beta=68.19 gamma=73.36
Fractional positions:
1 Al 0.8068 0.5599 0.4216
2 Al 0.5784 0.4401 0.1932
3 Al 0.8376 0.2581 0.8376
4 Ag 0.3951 0.7903 0.3951
5 Ag 0.6049 0.2097 0.6049
6 La 0.1614 0.2180 0.1614
7 La 0.8386 0.7820 0.8386
8 Al 0.1932 0.4401 0.5784
9 Al 0.7147 0.0000 0.2853
10 Al 0.2853 0.0000 0.7147
11 Al 0.4216 0.5599 0.8068
12 Al 0.1624 0.7419 0.1624

***

A plane-wave DFT calculation with PBE-GGA was carried out for crystalline LaAl2Ag9 at its relaxed geometry.

Magnetization = 0.00 μB per cell
Raw total energy = -79.37 eV/cell
DFT formation energy = -1.61 eV/f.u.

Unit cell a=7.2008 b=8.8237 c=8.8237 alpha=80.42 beta=65.92 gamma=65.92
Fractional positions:
1 Ag 0.6079 0.3223 0.0790
2 Ag 0.1421 0.4210 0.1777
3 La 0.5000 0.0000 0.0000
4 Ag 0.1421 0.1777 0.4210
5 Ag 0.0698 0.3223 0.9210
6 Ag 0.3130 0.6777 0.0790
7 Al 0.3750 0.7500 0.7500
8 Ag 0.6079 0.0790 0.3223
9 La 0.2500 0.5000 0.5000
10 Ag 0.4370 0.4210 0.8223
11 Ag 0.6802 0.5790 0.1777
12 Al 0.8750 0.7500 0.2500
13 Ag 0.7408 0.5790 0.8223
14 Ag 0.0092 0.6777 0.9210
15 Ag 0.0000 0.0000 0.0000
16 Al 0.8750 0.2500 0.7500
17 Ag 0.3130 0.0790 0.6777
18 Ag 0.6802 0.1777 0.5790
19 Ag 0.7500 0.5000 0.5000
20 Ag 0.0092 0.9210 0.6777
21 Ag 0.7408 0.8223 0.5790
22 Ag 0.4370 0.8223 0.4210
23 Al 0.8750 0.2500 0.2500
24 Ag 0.0698 0.9210 0.3223

***

Copy entry 2 word for word.
A plane-wave DFT calculation with PBE-GGA was carried out for crystalline LaAl4Ag at its relaxed geometry.

ΔE to the lowest computed polymorph = 0.11 eV per formula unit
Magnetization = 0.00 μB per cell
Raw total energy = -48.70 eV/cell
DFT formation energy = -1.60 eV/f.u.

Unit cell a=8.1641 b=8.1612 c=8.7755 alpha=58.40 beta=141.57 gamma=136.19
Fractional positions:
1 Al 0.4987 0.2306 0.7007
2 Al 0.9532 0.8716 0.3237
3 Al 0.0468 0.1284 0.6763
4 Al 0.5013 0.7694 0.2993
5 Ag 0.5000 0.0000 0.5000
6 Al 0.4914 0.8530 0.8447
7 La 0.2146 0.3480 0.0616
8 Al 0.0291 0.2973 0.2990
9 Al 0.5086 0.1470 0.1553
10 La 0.7854 0.6520 0.9384
11 Al 0.9709 0.7027 0.7010
12 Ag 0.0000 0.5000 0.5000

***

Question: The lowest raw total energy belongs to which entry?
Answer: LaAl2Ag9